Compound: TlSiAg
Source: the Alexandria database
Functional: PBE
Structure: relaxed

abc: 6.7260 6.7260 6.7260
angles: 152.40 152.40 39.43
Fractional positions:
Tl 0.0000 0.0000 0.0000
Si 0.3097 0.3097 0.0000
Ag 0.6965 0.6965 0.0000

Results
Uncorrected energy ... -9.5 eV for the cell shown
SG ... I4mm
Energy relative to the elements, uncorrected ... 1.1 eV per formula unit